No. 1
! CsK2Te2H2 | the Alexandria database | PBE-GGA | optimized geometry; values from VASP
&SYSTEM
  ibrav = 0, nat = 7, ntyp = 4
/
ATOMIC_SPECIES
K 39.10 K.upf
H 1.01 H.upf
Cs 132.91 Cs.upf
Te 127.60 Te.upf
ATOMIC_POSITIONS crystal
K 0.3272 0.6542 0.6478
H 0.3178 0.6354 0.2079
Cs 0.0000 0.0000 0.0000
K 0.6728 0.3458 0.3522
Te 0.8264 0.6524 0.6676
Te 0.1736 0.3476 0.3324
H 0.6822 0.3646 0.7921
CELL_PARAMETERS angstrom
7.1272 -0.0005 -0.0010
-3.5639 3.6133 0.4423
-0.0013 -1.5768 10.8819
! - E: -2.717 eV per atom

No. 2
! Rb7Au4Cl | the Alexandria database | PBE-GGA | optimized geometry; values from VASP
&SYSTEM
  ibrav = 0, nat = 12, ntyp = 3
/
ATOMIC_SPECIES
Rb 85.47 Rb.upf
Au 196.97 Au.upf
Cl 35.45 Cl.upf
ATOMIC_POSITIONS crystal
Rb 0.6890 0.7696 0.3780
Rb 0.9201 0.2057 0.8402
Au 0.5224 0.3860 0.0449
Rb 0.1477 0.3853 0.2953
Au 0.7146 0.1612 0.4292
Rb 0.8523 0.6147 0.7047
Cl 0.0000 0.0000 0.0000
Rb 0.3110 0.2304 0.6220
Rb 0.0799 0.7943 0.1598
Au 0.4776 0.6140 0.9551
Rb 0.5000 0.0000 0.0000
Au 0.2854 0.8388 0.5708
CELL_PARAMETERS angstrom
-0.5325 3.5572 -5.0687
-0.9024 -8.0266 -5.5382
-7.7439 3.1927 6.8648
! - Energy relative to the elements, uncorrected: -45.00 kJ per mole of atoms

No. 3
! K2CaSbCl6 | the Alexandria database | PBE-GGA | optimized geometry; values from VASP
&SYSTEM
  ibrav = 0, nat = 10, ntyp = 4
/
ATOMIC_SPECIES
Cl 35.45 Cl.upf
Sb 121.76 Sb.upf
K 39.10 K.upf
Ca 40.08 Ca.upf
ATOMIC_POSITIONS crystal
Cl 0.2215 0.2215 0.5572
Cl 0.2531 0.2538 0.9996
Cl 0.7466 0.2531 0.0000
Sb 0.5000 0.5000 0.0000
Cl 0.7469 0.7462 0.0004
K 0.2498 0.7495 0.5007
Cl 0.2534 0.7469 0.0000
K 0.7502 0.2505 0.4993
Cl 0.7785 0.7785 0.4428
Ca 0.0000 0.0000 0.0000
CELL_PARAMETERS angstrom
-4.0104 1.5392 -6.2517
6.1663 -1.2043 -4.2521
-0.4005 -5.6797 -5.7492
! - Energy relative to the elements, uncorrected: -151.19 kJ per mole of atoms

No. 4
! CaPm5Ir2 | the Alexandria database | PBE-GGA | optimized geometry; values from VASP
&SYSTEM
  ibrav = 0, nat = 8, ntyp = 3
/
ATOMIC_SPECIES
Pm 145.00 Pm.upf
Ir 192.22 Ir.upf
Ca 40.08 Ca.upf
ATOMIC_POSITIONS crystal
Pm 0.6578 0.1025 0.5818
Ir 0.1933 0.3067 0.3067
Pm 0.3422 0.8975 0.4182
Ca 0.0000 0.0000 0.0000
Pm 0.3422 0.4182 0.8975
Ir 0.8067 0.6933 0.6933
Pm 0.0000 0.5000 0.5000
Pm 0.6578 0.5818 0.1025
CELL_PARAMETERS angstrom
4.3694 0.0000 0.0000
2.1847 8.4047 1.4437
2.1847 3.9054 7.5810
! - ΔE_f: -0.388 eV/atom

No. 5
! AlWSe | the Alexandria database | PBE-GGA | optimized geometry; values from VASP
&SYSTEM
  ibrav = 0, nat = 3, ntyp = 3
/
ATOMIC_SPECIES
W 183.84 W.upf
Se 78.96 Se.upf
Al 26.98 Al.upf
ATOMIC_POSITIONS crystal
W 0.3333 0.6667 0.4998
Se 0.6667 0.3333 0.5000
Al 0.0000 0.0000 0.0002
CELL_PARAMETERS angstrom
-2.0941 3.9679 0.4950
-0.5692 -3.2519 3.0783
2.2250 0.9922 1.4596
! - Energy above the lowest structure with this stoichiometry: 94 kJ/mol of formula units
! - Energy relative to the elements, uncorrected: 32.22 kJ per mole of atoms

No. 6
! CoPtW | the Alexandria database | PBE-GGA | optimized geometry; values from VASP
&SYSTEM
  ibrav = 0, nat = 3, ntyp = 3
/
ATOMIC_SPECIES
W 183.84 W.upf
Co 58.93 Co.upf
Pt 195.08 Pt.upf
ATOMIC_POSITIONS crystal
W 0.6573 0.6573 0.3427
Co 0.0051 0.0051 0.9949
Pt 0.3376 0.3376 0.6624
CELL_PARAMETERS angstrom
-0.6418 3.7019 4.5836
-3.1969 2.8280 4.1119
0.1638 -1.6549 2.1793
! - Energy above the lowest structure with this stoichiometry: 16 kJ/mol of formula units
! - ΔE_f: -0.105 eV/atom

No. 7
! PuHf2Ti | the Alexandria database | PBE-GGA | optimized geometry; values from VASP
&SYSTEM
  ibrav = 0, nat = 4, ntyp = 3
/
ATOMIC_SPECIES
Hf 178.49 Hf.upf
Pu 244.00 Pu.upf
Ti 47.87 Ti.upf
ATOMIC_POSITIONS crystal
Hf 0.2554 0.2554 0.2338
Hf 0.0778 0.0778 0.7666
Pu 0.5000 0.5000 0.5001
Ti 0.6668 0.6668 0.9996
CELL_PARAMETERS angstrom
3.1463 0.0000 0.0000
1.5731 2.7247 0.0000
1.5731 0.9082 10.1835
! - Energy above the lowest structure with this stoichiometry: 0 kJ/mol of formula units
! - ΔE_f: 0.161 eV/atom

No. 8
! Sb3AsS | the Alexandria database | PBE-GGA | optimized geometry; values from VASP
&SYSTEM
  ibrav = 0, nat = 5, ntyp = 3
/
ATOMIC_SPECIES
As 74.92 As.upf
S 32.06 S.upf
Sb 121.76 Sb.upf
ATOMIC_POSITIONS crystal
As 0.5000 0.5000 0.5000
S 0.0000 0.0000 0.0000
Sb 0.5000 0.0000 0.0000
Sb 0.0000 0.0000 0.5000
Sb 0.0000 0.5000 0.0000
CELL_PARAMETERS angstrom
5.1797 0.0000 0.0000
0.0000 5.1797 0.0000
0.0000 0.0000 5.1797
! - Energy above the lowest structure with this stoichiometry: 0 kJ/mol of formula units
! - Energy relative to the elements, uncorrected: 67.86 kJ per mole of atoms

No. 9
! Na2HfUS4 | the Alexandria database | PBE-GGA | optimized geometry; values from VASP
&SYSTEM
  ibrav = 0, nat = 8, ntyp = 4
/
ATOMIC_SPECIES
S 32.06 S.upf
U 238.03 U.upf
Hf 178.49 Hf.upf
Na 22.99 Na.upf
ATOMIC_POSITIONS crystal
S 0.0000 0.2733 0.7779
U 0.0000 0.0000 0.0000
S 0.0000 0.7267 0.2221
S 0.5000 0.7407 0.7686
Hf 0.5000 0.5000 0.0000
S 0.5000 0.2593 0.2314
Na 0.5000 0.0000 0.5000
Na 0.0000 0.5000 0.5000
CELL_PARAMETERS angstrom
-3.5284 -1.1152 0.7039
1.7865 -1.8386 6.0420
-2.0909 6.8453 0.3643
! - Energy relative to the elements, uncorrected: -133.93 kJ per mole of atoms

No. 10
! CePm3Sm2Te6 | the Alexandria database | PBE-GGA | optimized geometry; values from VASP
&SYSTEM
  ibrav = 0, nat = 12, ntyp = 4
/
ATOMIC_SPECIES
Te 127.60 Te.upf
Ce 140.12 Ce.upf
Pm 145.00 Pm.upf
Sm 150.36 Sm.upf
ATOMIC_POSITIONS crystal
Te 0.6675 0.5815 0.3351
Ce 0.5000 0.0000 0.0000
Te 0.9998 0.7485 0.9997
Te 0.6671 0.0840 0.3342
Te 0.3329 0.9160 0.6658
Pm 0.1669 0.8332 0.3337
Sm 0.1660 0.3312 0.3321
Te 0.0002 0.2515 0.0003
Pm 0.5000 0.5000 0.0000
Pm 0.8331 0.1668 0.6663
Te 0.3325 0.4185 0.6649
Sm 0.8340 0.6688 0.6679
CELL_PARAMETERS angstrom
-4.2198 0.4773 1.2964
2.2903 -2.4099 8.3420
3.2297 9.4145 -0.5572
! - Energy relative to the elements, uncorrected: -134.69 kJ per mole of atoms

No. 11
! LaTa2OsBr | the Alexandria database | PBE-GGA | optimized geometry; values from VASP
&SYSTEM
  ibrav = 0, nat = 5, ntyp = 4
/
ATOMIC_SPECIES
Ta 180.95 Ta.upf
Br 79.90 Br.upf
La 138.91 La.upf
Os 190.23 Os.upf
ATOMIC_POSITIONS crystal
Ta 0.5000 0.0000 0.0000
Br 0.5000 0.5000 0.5000
Ta 0.0000 0.0000 0.5000
La 0.0000 0.5000 0.0000
Os 0.0000 0.0000 0.0000
CELL_PARAMETERS angstrom
-3.9255 0.2379 2.8145
-2.9979 -3.5693 -3.8796
1.5042 -3.9025 2.4279
! - Energy relative to the elements, uncorrected: 57.70 kJ per mole of atoms

No. 12
! FeIr4Rh3 | the Alexandria database | PBE-GGA | optimized geometry; values from VASP
&SYSTEM
  ibrav = 0, nat = 8, ntyp = 3
/
ATOMIC_SPECIES
Ir 192.22 Ir.upf
Fe 55.84 Fe.upf
Rh 102.91 Rh.upf
ATOMIC_POSITIONS crystal
Ir 0.6301 0.3830 0.2602
Fe 0.5000 0.0000 0.0000
Ir 0.3699 0.6170 0.7398
Ir 0.3699 0.1228 0.7398
Rh 0.7829 0.7829 0.5659
Rh 0.2171 0.2171 0.4341
Rh 0.0000 0.5000 0.0000
Ir 0.6301 0.8772 0.2602
CELL_PARAMETERS angstrom
-0.8127 1.9306 -1.7047
-5.0974 -5.7714 -4.1060
-0.7638 3.0408 5.9473
! - Energy above the lowest structure with this stoichiometry: 112 kJ/mol of formula units
! - ΔE_f: 0.128 eV/atom